--- 1 ---
An optimized crystal structure of CePuCu. Source: Alexandria via LeMat-Bulk, functional GGA-PBE.

POSCAR file:
```
CePuCu
1.0
4.916 0.000 0.000
-2.458 4.257 0.000
0.000 0.000 2.861
Ce Pu Cu
1 1 1
direct
0.000 0.000 0.000
0.667 0.333 0.000
0.333 0.667 0.500
```

Calculated values
DOS(E_F) = 6.61 states/eV per cell



--- 2 ---
An optimized crystal structure of CePuCu. Source: Alexandria via LeMat-Bulk, functional GGA-PBE.

POSCAR file:
```
CePuCu
1.0
2.878 0.000 0.000
0.000 19.611 0.000
0.000 0.000 4.235
Ce Pu Cu
4 4 4
direct
0.000 0.109 0.250
0.000 0.891 0.750
0.500 0.391 0.750
0.500 0.609 0.250
0.000 0.246 0.750
0.000 0.754 0.250
0.500 0.254 0.250
0.500 0.746 0.750
0.000 0.469 0.250
0.000 0.531 0.750
0.500 0.031 0.750
0.500 0.969 0.250
```

Calculated values
DOS(E_F) = 28.07 states/eV per cell



Of them, 2 has the lowest stability.



--- 1 ---
An optimized crystal structure of CePuCu2. Source: Alexandria via LeMat-Bulk, functional GGA-PBE.

POSCAR file:
```
CePuCu2
1.0
6.480 0.000 0.000
0.000 6.493 0.000
0.000 0.000 3.938
Ce Pu Cu
2 2 4
direct
0.000 0.000 0.000
0.500 0.500 0.000
0.000 0.500 0.000
0.500 0.000 0.000
0.250 0.250 0.500
0.250 0.750 0.500
0.750 0.250 0.500
0.750 0.750 0.500
```

Calculated values
DOS(E_F) = 25.17 states/eV per cell



--- 2 ---
An optimized crystal structure of CePuCu2. Source: Alexandria via LeMat-Bulk, functional GGA-PBE.

POSCAR file:
```
CePuCu2
1.0
3.065 0.000 0.000
0.000 3.065 0.000
0.000 0.000 8.427
Ce Pu Cu
1 1 2
direct
0.000 0.000 0.000
0.000 0.000 0.500
0.500 0.500 0.251
0.500 0.500 0.749
```

Calculated values
DOS(E_F) = 10.52 states/eV per cell



Of them, 1 has the lowest stability.



--- 1 ---
An optimized crystal structure of CeCuRh. Source: Alexandria via LeMat-Bulk, functional GGA-PBE.

POSCAR file:
```
CeCuRh
1.0
0.000 5.128 5.717
4.125 0.000 5.717
4.125 5.128 0.000
Ce Cu Rh
4 4 4
direct
0.000 0.000 0.000
0.000 0.000 0.500
0.000 0.500 0.000
0.500 0.000 0.000
0.256 0.494 0.256
0.494 0.256 0.494
0.506 0.744 0.506
0.744 0.506 0.744
0.176 0.176 0.574
0.426 0.426 0.824
0.574 0.574 0.176
0.824 0.824 0.426
```

Calculated values
DOS(E_F) = 17.33 states/eV per cell



--- 2 ---
An optimized crystal structure of CeCuRh. Source: Alexandria via LeMat-Bulk, functional GGA-PBE.

POSCAR file:
```
CeCuRh
1.0
3.473 0.000 0.000
0.000 3.473 0.000
0.000 0.000 9.233
Ce Cu Rh
2 2 2
direct
0.000 0.000 0.000
0.500 0.500 0.500
0.000 0.000 0.692
0.500 0.500 0.192
0.000 0.000 0.334
0.500 0.500 0.834
```

Calculated values
DOS(E_F) = 8.58 states/eV per cell



--- 3 ---
An optimized crystal structure of CeCuRh. Source: Alexandria via LeMat-Bulk, functional GGA-PBE.

POSCAR file:
```
CeCuRh
1.0
4.347 0.000 0.000
-2.174 3.765 0.000
0.000 0.000 3.573
Ce Cu Rh
1 1 1
direct
0.000 0.000 0.000
0.333 0.667 0.500
0.667 0.333 0.500
```

Calculated values
DOS(E_F) = 4.73 states/eV per cell



Of them, 1 has the lowest stability.



--- 1 ---
An optimized crystal structure of CeCu2S3. Source: Alexandria via LeMat-Bulk, functional GGA-PBE.

POSCAR file:
```
CeCu2S3
1.0
4.177 -5.821 0.000
4.177 5.821 0.000
0.000 0.000 4.730
Ce Cu S
2 4 6
direct
0.250 0.750 0.750
0.750 0.250 0.250
0.197 0.197 0.000
0.197 0.197 0.500
0.803 0.803 0.000
0.803 0.803 0.500
0.110 0.890 0.250
0.162 0.457 0.250
0.457 0.162 0.750
0.543 0.838 0.250
0.838 0.543 0.750
0.890 0.110 0.750
```

Calculated values
DOS(E_F) = 4.75 states/eV per cell



--- 2 ---
An optimized crystal structure of CeCu2S3. Source: Alexandria via LeMat-Bulk, functional GGA-PBE.

POSCAR file:
```
CeCu2S3
1.0
6.777 0.000 0.000
0.000 3.930 0.000
-1.528 0.000 9.505
Ce Cu S
2 4 6
direct
0.180 0.250 0.178
0.820 0.750 0.822
0.200 0.250 0.845
0.404 0.750 0.418
0.596 0.250 0.582
0.800 0.750 0.155
0.057 0.750 0.337
0.232 0.750 0.970
0.462 0.750 0.664
0.538 0.250 0.336
0.768 0.250 0.030
0.943 0.250 0.663
```

Calculated values
DOS(E_F) = 4.00 states/eV per cell



Of them, 1 has the lowest stability.